[1]
Density functional theory data (PBE) for a relaxed structure of NbPtPbO6.

Cell lengths 7.153, 7.495, 10.603 Å; angles 90.00, 90.00, 90.00 degrees
Space group Imma (No. 74)
Symmetry-distinct sites (fractional):
Nb 0.000 0.000 0.000 x4
Pt 0.250 0.250 0.250 x4
Pb 0.000 0.250 0.534 x4
O 0.000 0.250 0.323 x4
O 0.000 0.250 0.937 x4
O 0.211 0.067 0.117 x16

formation energy without anion corrections = -1268 meV per atom
mass density = 6.91 Mg/m³

=====

[2]
Density functional theory data (PBE) for a relaxed structure of Rb2NbPbO5.

Cell lengths 3.264, 16.009, 12.603 Å; angles 90.00, 90.00, 90.00 degrees
Space group Cmc2_1 (No. 36)
Symmetry-distinct sites (fractional):
Rb 0.000 0.126 0.000 x4
Rb 0.000 0.132 0.534 x4
Nb 0.000 0.236 0.274 x4
Pb 0.000 0.489 0.744 x4
O 0.000 0.097 0.292 x4
O 0.000 0.273 0.876 x4
O 0.000 0.278 0.671 x4
O 0.000 0.352 0.275 x4
O 0.000 0.497 0.581 x4

formation energy without anion corrections = -1672 meV per atom
mass density = 5.56 Mg/m³

=====

[3]
Density functional theory data (PBE) for a relaxed structure of Rb4Nb3PbO12.

Cell lengths 8.336, 8.336, 8.336 Å; angles 90.00, 90.00, 90.00 degrees
Space group Im-3m (No. 229)
Symmetry-distinct sites (fractional):
Rb 0.250 0.250 0.250 x8
Nb 0.000 0.000 0.500 x6
Pb 0.000 0.000 0.000 x2
O 0.000 0.000 0.264 x12
O 0.000 0.250 0.500 x12

formation energy without anion corrections = -1973 meV per atom
mass density = 5.85 Mg/m³

=====

[4]
Density functional theory data (PBE) for a relaxed structure of RbNb2PbO6.

Cell lengths 12.088, 11.595, 6.234 Å; angles 90.00, 104.06, 90.00 degrees
Space group C2/c (No. 15)
Symmetry-distinct sites (fractional):
Rb 0.000 0.101 0.250 x4
Nb 0.232 0.399 0.227 x8
Pb 0.000 0.301 0.750 x4
O 0.116 0.153 0.692 x8
O 0.122 0.288 0.137 x8
O 0.213 0.494 0.478 x8

formation energy without anion corrections = -2064 meV per atom
mass density = 4.50 Mg/m³

=====

[5]
Density functional theory data (PBE) for a relaxed structure of NbRePbO6.

Cell lengths 7.236, 7.552, 10.646 Å; angles 90.00, 90.00, 90.00 degrees
Space group Imma (No. 74)
Symmetry-distinct sites (fractional):
Nb 0.000 0.000 0.000 x4
Re 0.250 0.250 0.250 x4
Pb 0.000 0.250 0.720 x4
O 0.000 0.250 0.300 x4
O 0.000 0.250 0.933 x4
O 0.191 0.065 0.129 x16

formation energy without anion corrections = -1720 meV per atom
mass density = 6.65 Mg/m³

=====

[6]
Density functional theory data (PBE) for a relaxed structure of NbRhPbO6.

Cell lengths 7.114, 7.499, 10.613 Å; angles 90.00, 90.00, 90.00 degrees
Space group Imma (No. 74)
Symmetry-distinct sites (fractional):
Nb 0.000 0.000 0.000 x4
Rh 0.250 0.250 0.250 x4
Pb 0.000 0.250 0.524 x4
O 0.000 0.250 0.311 x4
O 0.000 0.250 0.937 x4
O 0.213 0.069 0.116 x16

formation energy without anion corrections = -1322 meV per atom
mass density = 5.85 Mg/m³

=====

[7]
Density functional theory data (PBE) for a relaxed structure of NbRuPbO6.

Cell lengths 7.201, 7.417, 10.588 Å; angles 90.00, 90.00, 90.00 degrees
Space group Imma (No. 74)
Symmetry-distinct sites (fractional):
Nb 0.000 0.000 0.000 x4
Ru 0.250 0.250 0.250 x4
Pb 0.000 0.250 0.715 x4
O 0.000 0.250 0.311 x4
O 0.000 0.250 0.930 x4
O 0.192 0.055 0.131 x16

formation energy without anion corrections = -1428 meV per atom
mass density = 5.84 Mg/m³

=====

[8]
Density functional theory data (PBE) for a relaxed structure of NbRuPb2O6.

Cell lengths 5.758, 5.710, 9.890 Å; angles 90.00, 125.56, 90.00 degrees
Space group P2_1/c (No. 14)
Symmetry-distinct sites (fractional):
Nb 0.000 0.000 0.000 x2
Ru 0.500 0.000 0.500 x2
Pb 0.244 0.006 0.750 x4
O 0.210 0.239 0.473 x4
O 0.231 0.739 0.473 x4
O 0.298 0.001 0.249 x4

formation energy without anion corrections = -1517 meV per atom
mass density = 8.84 Mg/m³

=====

[9]
Density functional theory data (PBE) for a relaxed structure of NbSb2PbO8.

Cell lengths 6.900, 7.192, 6.761 Å; angles 90.00, 90.00, 90.00 degrees
Space group Cmmm (No. 65)
Symmetry-distinct sites (fractional):
Nb 0.000 0.000 0.000 x2
Sb 0.000 0.500 0.246 x4
Pb 0.000 0.000 0.500 x2
O 0.000 0.303 0.000 x4
O 0.000 0.331 0.500 x4
O 0.203 0.000 0.209 x8

formation energy without anion corrections = -1557 meV per atom
mass density = 6.65 Mg/m³

=====

[10]
Density functional theory data (PBE) for a relaxed structure of ScNb2PbO8.

Cell lengths 6.0376, 6.0376, 6.3995 Å; angles 90.00, 90.00, 120.00 degrees
Space group P-3m1 (No. 164)
Symmetry-distinct sites (fractional):
Sc 0.0000 0.0000 0.0000 x1
Nb 0.3333 0.6667 0.2895 x2
Pb 0.0000 0.0000 0.5000 x1
O 0.1560 0.3119 0.2110 x6
O 0.3333 0.6667 0.5671 x2

formation energy without anion corrections = -2299 meV per atom
mass density = 4.65 Mg/m³

=====

[11]
Density functional theory data (PBE) for a relaxed structure of Nb2Pb2Se4O15.

Cell lengths 27.091, 7.187, 7.875 Å; angles 90.00, 94.17, 90.00 degrees
Space group C2/c (No. 15)
Symmetry-distinct sites (fractional):
Nb 0.071 0.008 0.237 x8
Pb 0.205 0.391 0.315 x8
Se 0.081 0.420 0.516 x8
Se 0.188 0.106 0.937 x8
O 0.000 0.003 0.250 x4
O 0.075 0.074 0.015 x8
O 0.075 0.270 0.691 x8
O 0.075 0.275 0.337 x8
O 0.142 0.472 0.531 x8
O 0.149 0.006 0.283 x8
O 0.218 0.263 0.816 x8
O 0.233 0.067 0.451 x8

formation energy without anion corrections = -1438 meV per atom
mass density = 5.02 Mg/m³

=====

[12]
Density functional theory data (PBE) for a relaxed structure of NbSi2PbO8.

Cell lengths 8.536, 5.523, 7.224 Å; angles 90.00, 92.92, 90.00 degrees
Space group C2/m (No. 12)
Symmetry-distinct sites (fractional):
Nb 0.000 0.000 0.000 x2
Si 0.154 0.500 0.228 x4
Pb 0.000 0.000 0.500 x2
O 0.044 0.254 0.201 x8
O 0.217 0.000 0.931 x4
O 0.234 0.500 0.438 x4

formation energy without anion corrections = -2226 meV per atom
mass density = 4.73 Mg/m³

=====

[13]
Density functional theory data (PBE) for a relaxed structure of NbSnPbO6.

Cell lengths 5.4734, 5.4734, 9.8952 Å; angles 90.00, 90.00, 120.00 degrees
Space group P-31c (No. 163)
Symmetry-distinct sites (fractional):
Nb 0.3333 0.6667 0.2500 x2
Sn 0.3333 0.6667 0.7500 x2
Pb 0.0000 0.0000 0.0000 x2
O 0.0084 0.3713 0.1393 x12

formation energy without anion corrections = -1725 meV per atom
mass density = 6.66 Mg/m³

=====

[14]
Density functional theory data (PBE) for a relaxed structure of SrNbPbO6.

Cell lengths 5.6337, 5.6337, 10.5635 Å; angles 90.00, 90.00, 120.00 degrees
Space group P-31c (No. 163)
Symmetry-distinct sites (fractional):
Sr 0.0000 0.0000 0.0000 x2
Nb 0.3333 0.6667 0.2500 x2
Pb 0.3333 0.6667 0.7500 x2
O 0.0231 0.3859 0.1418 x12

formation energy without anion corrections = -1833 meV per atom
mass density = 5.53 Mg/m³

=====

[15]
Density functional theory data (PBE) for a relaxed structure of SrNbPb2O8.

Cell lengths 7.028, 7.247, 7.043 Å; angles 90.00, 90.00, 90.00 degrees
Space group Cmmm (No. 65)
Symmetry-distinct sites (fractional):
Sr 0.000 0.000 0.000 x2
Nb 0.000 0.000 0.500 x2
Pb 0.000 0.500 0.261 x4
O 0.000 0.290 0.500 x4
O 0.000 0.328 0.000 x4
O 0.193 0.000 0.294 x8

formation energy without anion corrections = -1556 meV per atom
mass density = 6.69 Mg/m³

=====

[16]
Density functional theory data (PBE) for a relaxed structure of Sr2NbPbO6.

Cell lengths 5.9961, 5.9961, 14.8545 Å; angles 90.00, 90.00, 120.00 degrees
Space group R3 (No. 146, hexagonal axes)
Symmetry-distinct sites (fractional):
Sr 0.0000 0.0000 0.0000 x3
Sr 0.0000 0.0000 0.5000 x3
Nb 0.0000 0.0000 0.2298 x3
Pb 0.0000 0.0000 0.7354 x3
O 0.0202 0.4231 0.9624 x9
O 0.0947 0.7196 0.8058 x9

formation energy without anion corrections = -2343 meV per atom
mass density = 6.15 Mg/m³